1.
{"formula": "AgOs3", "functional": "GGA-PBE", "state": "optimized geometry", "ef_ev_per_atom": 4.2675, "de_polymorph_mev_per_atom": 3996, "cell": [[4.9256, 0.0000, 0.0000], [0.0000, 4.9256, 0.0000], [0.0000, 0.0000, 4.9256]], "species": ["Os", "Os", "Ag", "Os"], "fractional_positions": [[0.0000, 0.5000, 0.0000], [0.5000, 0.0000, 0.0000], [0.0000, 0.0000, 0.0000], [0.0000, 0.0000, 0.5000]]}

***

2.
{"formula": "Ac3Sc5H12", "functional": "GGA-PBE", "state": "optimized geometry", "total_energy_ev_per_atom": -4.61, "cell": [[11.3472, 0.0000, 0.0000], [-3.7824, 10.6983, 0.0000], [-3.7824, -5.3491, 9.2650]], "species": ["Sc", "H", "H", "H", "H", "H", "Ac", "Sc", "H", "Sc", "Sc", "H", "H", "Sc", "Sc", "H", "H", "H", "H", "Ac", "H", "H", "Sc", "Sc", "H", "H", "Sc", "H", "Ac", "H", "Sc", "Sc", "Sc", "Sc", "Ac", "H", "H", "H", "H", "Sc", "H", "H", "Ac", "H", "Sc", "H", "H", "H", "Ac", "H", "Ac", "H", "H", "Ac", "H", "Sc", "H", "Sc", "H", "Ac", "H", "H", "H", "Sc", "H", "Sc", "H", "H", "H", "Sc", "Ac", "H", "H", "Ac", "H", "H", "Ac", "H", "H", "H"], "fractional_positions": [[0.2500, 0.8750, 0.1250], [0.6694, 0.4670, 0.5867], [0.0827, 0.9133, 0.3803], [0.9670, 0.3803, 0.2976], [0.8803, 0.5827, 0.9133], [0.9133, 0.8306, 0.5330], [0.3750, 0.7500, 0.6250], [0.3750, 0.2500, 0.1250], [0.9670, 0.5867, 0.1694], [0.6250, 0.8750, 0.2500], [0.0000, 0.5000, 0.0000], [0.0867, 0.9173, 0.1197], [0.4133, 0.3803, 0.5827], [0.3750, 0.1250, 0.7500], [0.7500, 0.1250, 0.8750], [0.7976, 0.4670, 0.3803], [0.3803, 0.9670, 0.7976], [0.1197, 0.7024, 0.5330], [0.3306, 0.7976, 0.4173], [0.7500, 0.8750, 0.6250], [0.0827, 0.1694, 0.2024], [0.6197, 0.5867, 0.9173], [0.0000, 0.0000, 0.5000], [0.0000, 0.0000, 0.0000], [0.9173, 0.0867, 0.6197], [0.4133, 0.0330, 0.3306], [0.5000, 0.0000, 0.0000], [0.5827, 0.7024, 0.6694], [0.3750, 0.6250, 0.2500], [0.0867, 0.1694, 0.4670], [0.0000, 0.5000, 0.5000], [0.5000, 0.5000, 0.0000], [0.5000, 0.5000, 0.5000], [0.1250, 0.3750, 0.2500], [0.2500, 0.1250, 0.3750], [0.9133, 0.0827, 0.8803], [0.1694, 0.0827, 0.7024], [0.5867, 0.6197, 0.4173], [0.1694, 0.0867, 0.9670], [0.8750, 0.6250, 0.7500], [0.8803, 0.2976, 0.4670], [0.6694, 0.2024, 0.5827], [0.1250, 0.2500, 0.8750], [0.8306, 0.9133, 0.0330], [0.6250, 0.7500, 0.8750], [0.0330, 0.6197, 0.7024], [0.7976, 0.3306, 0.9173], [0.5827, 0.8803, 0.4133], [0.2500, 0.6250, 0.8750], [0.3803, 0.4133, 0.0827], [0.8750, 0.7500, 0.1250], [0.2976, 0.4173, 0.8306], [0.4173, 0.1197, 0.5867], [0.7500, 0.3750, 0.1250], [0.4670, 0.7976, 0.8803], [0.8750, 0.2500, 0.6250], [0.4173, 0.2976, 0.3306], [0.7500, 0.6250, 0.3750], [0.2024, 0.5330, 0.6197], [0.8750, 0.1250, 0.2500], [0.7024, 0.1197, 0.0330], [0.4670, 0.6694, 0.0867], [0.9173, 0.8306, 0.7976], [0.1250, 0.7500, 0.3750], [0.3306, 0.5330, 0.4133], [0.2500, 0.3750, 0.6250], [0.7024, 0.5827, 0.1694], [0.1197, 0.4173, 0.0867], [0.8306, 0.9173, 0.2976], [0.5000, 0.0000, 0.5000], [0.6250, 0.2500, 0.3750], [0.2024, 0.6694, 0.0827], [0.6197, 0.0330, 0.2024], [0.6250, 0.3750, 0.7500], [0.5867, 0.9670, 0.6694], [0.5330, 0.3306, 0.9133], [0.1250, 0.8750, 0.7500], [0.0330, 0.4133, 0.8306], [0.2976, 0.8803, 0.9670], [0.5330, 0.2024, 0.1197]]}

***

3.
{"formula": "TaS3Cl", "functional": "GGA-PBE", "state": "optimized geometry", "de_polymorph_mev_per_atom": 1646, "raw_formation_energy_kcal_per_mol_atoms": 30.211, "cell": [[-2.9930, 2.6820, -1.9438], [-3.1855, -3.0487, 0.6984], [-0.9079, 1.8552, 3.9577]], "species": ["Cl", "S", "S", "S", "Ta"], "fractional_positions": [[0.0000, 0.0000, 0.0000], [0.5000, 0.0000, 0.0000], [0.0000, 0.5000, 0.0000], [0.0000, 0.0000, 0.5000], [0.5000, 0.5000, 0.5000]]}

***

4.
{"formula": "RbNp2RhSe4", "functional": "GGA-PBE", "state": "optimized geometry", "raw_formation_energy_kcal_per_mol_atoms": -23.371, "cell": [[-1.4771, -1.9679, -3.2204], [7.0565, 1.9354, -1.8691], [4.8209, -12.3969, 5.3642]], "species": ["Se", "Se", "Se", "Se", "Rh", "Np", "Rh", "Np", "Rb", "Np", "Np", "Se", "Se", "Se", "Se", "Rb"], "fractional_positions": [[0.5686, 0.1373, 0.2500], [0.7353, 0.4706, 0.6063], [0.2647, 0.5294, 0.3937], [0.0000, 0.0000, 0.5000], [0.8354, 0.6708, 0.7500], [0.6335, 0.2670, 0.4355], [0.1646, 0.3292, 0.2500], [0.3665, 0.7330, 0.9355], [0.1094, 0.2187, 0.7500], [0.6335, 0.2670, 0.0645], [0.3665, 0.7330, 0.5645], [0.7353, 0.4706, 0.8937], [0.4314, 0.8627, 0.7500], [0.2647, 0.5294, 0.1063], [0.0000, 0.0000, 0.0000], [0.8906, 0.7813, 0.2500]]}

***

| no. | DOS at the Fermi energy (states/eV per cell) |
| --- | --- |
| 1 | 8.5 |
| 2 | 57.1 |
| 3 | 5.0 |
| 4 | 41.8 |